A geometry-optimized PrY3Tc structure, computed with PBE.

a = 5.4383 Å, b = 5.4383 Å, c = 5.4383 Å
α = 90.00°, β = 90.00°, γ = 90.00°
Element x y z (fractional)
Pr1 0.0000 0.0000 0.0000
Y1 0.0000 0.5000 0.5000
Y2 0.5000 0.0000 0.5000
Y3 0.5000 0.5000 0.0000
Tc1 0.5000 0.5000 0.5000

Summary:
raw total energy = -6.78 eV/atom
total moment = 0.0 μB/f.u.
symmetry = No. 221

A geometry-optimized PrYZnTc structure, computed with PBE.

a = 5.0359 Å, b = 5.0359 Å, c = 5.0359 Å
α = 60.00°, β = 60.00°, γ = 60.00°
Element x y z (fractional)
Pr1 0.0000 0.0000 0.0000
Y1 0.5000 0.5000 0.5000
Zn1 0.7500 0.7500 0.7500
Tc1 0.2500 0.2500 0.2500

Summary:
raw total energy = -5.77 eV/atom
total moment = 0.0 μB/f.u.
symmetry = No. 216

A geometry-optimized Pr2ZnTc structure, computed with PBE.

a = 3.6285 Å, b = 3.6285 Å, c = 7.3832 Å
α = 90.00°, β = 90.00°, γ = 90.00°
Element x y z (fractional)
Pr1 0.0000 0.0000 0.2308
Pr2 0.0000 0.0000 0.7692
Zn1 0.5000 0.5000 0.5000
Tc1 0.5000 0.5000 0.0000

Summary:
raw total energy = -5.30 eV/atom
total moment = 0.0 μB/f.u.
symmetry = No. 123

A geometry-optimized Pr2ZnTc structure, computed with PBE.

a = 10.6696 Å, b = 10.6696 Å, c = 10.6696 Å
α = 17.87°, β = 17.87°, γ = 17.87°
Element x y z (fractional)
Pr1 0.0844 0.0844 0.0844
Pr2 0.9156 0.9156 0.9156
Zn1 0.5000 0.5000 0.5000
Tc1 0.0000 0.0000 0.0000

Summary:
raw total energy = -4.63 eV/atom
total moment = 0.7 μB/f.u.
symmetry = No. 166

A geometry-optimized PrZn4Tc structure, computed with PBE.

a = 5.2464 Å, b = 5.2464 Å, c = 5.2464 Å
α = 60.00°, β = 60.00°, γ = 60.00°
Element x y z (fractional)
Pr1 0.0000 0.0000 0.0000
Zn1 0.3769 0.3769 0.3769
Zn2 0.3769 0.3769 0.8693
Zn3 0.3769 0.8693 0.3769
Zn4 0.8693 0.3769 0.3769
Tc1 0.7500 0.7500 0.7500

Summary:
raw total energy = -3.45 eV/atom
total moment = 0.7 μB/f.u.
symmetry = No. 216

A geometry-optimized PrZnTc structure, computed with PBE.

a = 5.3452 Å, b = 5.3452 Å, c = 5.2041 Å
α = 106.73°, β = 106.73°, γ = 64.88°
Element x y z (fractional)
Pr1 0.1456 0.1456 0.4119
Pr2 0.8544 0.8544 0.5881
Zn1 0.0000 0.5000 0.0000
Zn2 0.5000 0.0000 0.0000
Tc1 0.4857 0.4857 0.2651
Tc2 0.5143 0.5143 0.7349

Summary:
raw total energy = -5.40 eV/atom
total moment = 0.0 μB/f.u.
symmetry = No. 12

A geometry-optimized Pr4ZnTc structure, computed with PBE.

a = 7.8593 Å, b = 7.8593 Å, c = 6.4659 Å
α = 99.46°, β = 99.46°, γ = 112.16°
Element x y z (fractional)
Pr1 0.0649 0.7211 0.9586
Pr2 0.2134 0.3719 0.5945
Pr3 0.2789 0.9351 0.5414
Pr4 0.3719 0.2134 0.0945
Pr5 0.6281 0.7866 0.9055
Pr6 0.7211 0.0649 0.4586
Pr7 0.7866 0.6281 0.4055
Pr8 0.9351 0.2789 0.0414
Zn1 0.3766 0.6234 0.2500
Zn2 0.6234 0.3766 0.7500
Tc1 0.0001 0.9999 0.2500
Tc2 0.9999 0.0001 0.7500

Summary:
raw total energy = -5.20 eV/atom
total moment = 0.0 μB/f.u.
symmetry = No. 15

A geometry-optimized PrZrTc4 structure, computed with PBE.

a = 5.3980 Å, b = 5.3980 Å, c = 5.3980 Å
α = 60.00°, β = 60.00°, γ = 60.00°
Element x y z (fractional)
Pr1 0.0000 0.0000 0.0000
Zr1 0.2500 0.2500 0.2500
Tc1 0.1264 0.6245 0.6245
Tc2 0.6245 0.1264 0.6245
Tc3 0.6245 0.6245 0.1264
Tc4 0.6245 0.6245 0.6245

Summary:
raw total energy = -9.15 eV/atom
total moment = 0.0 μB/f.u.
symmetry = No. 216

Calculated density in g cm⁻³, matching the order above: 5.2 7.2 7.6 7.4 8.1 8.0 6.8 9.3